## CsPbS (PBE)

Data for a relaxed CsPbS crystal.

Results
**Raw formation energy**: -0.4647 eV per atom
**Fermi-level density of states**: 2.09 states/eV/f.u.

abc: 6.490 15.285 6.423
angles: 90.00 90.00 90.00
Space group Cmcm (No. 63)
Inequivalent atoms, fractional coordinates:
1 Cs 0.000 0.237 0.250 (multiplicity 4)
2 Pb 0.000 0.500 0.000 (multiplicity 4)
3 S 0.000 0.344 0.750 (multiplicity 4)

## Ho2Ga5Co (PBE)

Data for a relaxed Ho2Ga5Co crystal.

Results
**Total DFT energy (no corrections)**: -69.2 eV for the cell shown
**Fermi-level density of states**: 4.58 states/eV/f.u.

abc: 6.028 6.028 8.504
angles: 90.00 90.00 90.00
Space group I4mm (No. 107)
Inequivalent atoms, fractional coordinates:
1 Ho 0.000 0.500 0.000 (multiplicity 4)
2 Ga 0.000 0.000 0.497 (multiplicity 2)
3 Ga 0.220 0.220 0.252 (multiplicity 8)
4 Co 0.000 0.000 0.775 (multiplicity 2)

## NaBePd2 (PBE)

Data for a relaxed NaBePd2 crystal.

Results
**Total DFT energy (no corrections)**: -58.7 eV for the cell shown
**Fermi-level density of states**: 1.55 states/eV/f.u.

abc: 4.917 4.917 14.279
angles: 90.00 90.00 90.00
Space group I-42d (No. 122)
Inequivalent atoms, fractional coordinates:
1 Na 0.000 0.000 0.000 (multiplicity 4)
2 Be 0.000 0.000 0.500 (multiplicity 4)
3 Pd 0.084 0.250 0.625 (multiplicity 8)

## Pr2Sm3Y6Sc (PBE)

Data for a relaxed Pr2Sm3Y6Sc crystal.

Results
**Total DFT energy (no corrections)**: -137.1 eV for the cell shown
**Fermi-level density of states**: 15.81 states/eV/f.u.

abc: 6.207 10.748 11.862
angles: 90.00 100.01 90.00
Space group C2/m (No. 12)
Inequivalent atoms, fractional coordinates:
1 Pr 0.000 0.166 0.000 (multiplicity 4)
2 Sm 0.000 0.000 0.500 (multiplicity 2)
3 Sm 0.000 0.333 0.500 (multiplicity 4)
4 Y 0.247 0.335 0.249 (multiplicity 8)
5 Y 0.248 0.500 0.751 (multiplicity 4)
6 Sc 0.000 0.500 0.000 (multiplicity 2)

## Zn2CuAu (PBE)

Data for a relaxed Zn2CuAu crystal.

Results
**Total DFT energy (no corrections)**: -20.7 eV for the cell shown
**Fermi-level density of states**: 1.01 states/eV/f.u.

abc: 9.028 2.887 4.687
angles: 90.00 103.56 90.00
Space group C2/m (No. 12)
Inequivalent atoms, fractional coordinates:
1 Zn 0.243 0.000 0.237 (multiplicity 4)
2 Cu 0.000 0.500 0.000 (multiplicity 2)
3 Au 0.000 0.000 0.500 (multiplicity 2)

## La2TbNi6 (PBE)

Data for a relaxed La2TbNi6 crystal.

Results
**Total DFT energy (no corrections)**: -52.2 eV for the cell shown
**Fermi-level density of states**: 10.69 states/eV/f.u.

abc: 7.0037 7.0037 3.9701
angles: 90.00 90.00 120.00
Space group P6/mmm (No. 191)
Inequivalent atoms, fractional coordinates:
1 La 0.3333 0.6667 0.0000 (multiplicity 2)
2 Tb 0.0000 0.0000 0.0000 (multiplicity 1)
3 Ni 0.0000 0.3306 0.5000 (multiplicity 6)

## Li2MgCdI6 (PBE)

Data for a relaxed Li2MgCdI6 crystal.

Results
**Raw formation energy**: -0.9123 eV per atom
**Fermi-level density of states**: 0.00 states/eV/f.u.

abc: 7.4691 7.4691 20.4228
angles: 90.00 90.00 120.00
Space group R3 (No. 146, hexagonal axes)
Inequivalent atoms, fractional coordinates:
1 Li 0.0000 0.0000 0.0000 (multiplicity 3)
2 Li 0.0000 0.0000 0.4947 (multiplicity 3)
3 Mg 0.0000 0.0000 0.6822 (multiplicity 3)
4 Cd 0.0000 0.0000 0.1864 (multiplicity 3)
5 I 0.0059 0.3148 0.5893 (multiplicity 9)
6 I 0.0157 0.6707 0.7541 (multiplicity 9)

## Ti2Cd (PBE)

Data for a relaxed Ti2Cd crystal.

Results
**Total DFT energy (no corrections)**: -128.6 eV for the cell shown
**Fermi-level density of states**: 3.79 states/eV/f.u.

abc: 7.621 7.621 7.621
angles: 90.00 90.00 90.00
Space group Fd-3m (No. 227, origin choice 2)
Inequivalent atoms, fractional coordinates:
1 Ti 0.000 0.000 0.000 (multiplicity 16)
2 Cd 0.125 0.125 0.625 (multiplicity 8)

## KLiCo (PBE)

Data for a relaxed KLiCo crystal.

Results
**Total DFT energy (no corrections)**: -18.0 eV for the cell shown
**Fermi-level density of states**: 2.24 states/eV/f.u.

abc: 3.987 3.992 12.521
angles: 90.42 90.28 119.95
Space group P1 (No. 1)
Inequivalent atoms, fractional coordinates:
1 K 0.000 0.000 0.000 (multiplicity 1)
2 K 0.307 0.653 0.333 (multiplicity 1)
3 Li 0.661 0.326 0.745 (multiplicity 1)
4 Li 0.989 0.988 0.642 (multiplicity 1)
5 Co 0.320 0.651 0.577 (multiplicity 1)
6 Co 0.652 0.317 0.548 (multiplicity 1)

## InTcPb2 (PBE)

Data for a relaxed InTcPb2 crystal.

Results
**Total DFT energy (no corrections)**: -17.8 eV for the cell shown
**Fermi-level density of states**: 3.41 states/eV/f.u.

abc: 3.597 5.093 5.184
angles: 90.00 90.00 90.00
Space group Pmmm (No. 47)
Inequivalent atoms, fractional coordinates:
1 In 0.000 0.000 0.000 (multiplicity 1)
2 Tc 0.500 0.000 0.500 (multiplicity 1)
3 Pb 0.000 0.500 0.500 (multiplicity 1)
4 Pb 0.500 0.500 0.000 (multiplicity 1)

## SrAlSn4 (PBE)

Data for a relaxed SrAlSn4 crystal.

Results
**Total DFT energy (no corrections)**: -87.9 eV for the cell shown
**Fermi-level density of states**: 3.09 states/eV/f.u.

abc: 8.853 8.853 8.853
angles: 90.00 90.00 90.00
Space group F-43m (No. 216)
Inequivalent atoms, fractional coordinates:
1 Sr 0.000 0.000 0.000 (multiplicity 4)
2 Al 0.250 0.250 0.750 (multiplicity 4)
3 Sn 0.124 0.124 0.376 (multiplicity 16)

## KSrCdHg (PBE)

Data for a relaxed KSrCdHg crystal.

Results
**Total DFT energy (no corrections)**: -19.2 eV for the cell shown
**Fermi-level density of states**: 4.06 states/eV/f.u.

abc: 8.209 8.209 8.209
angles: 90.00 90.00 90.00
Space group F-43m (No. 216)
Inequivalent atoms, fractional coordinates:
1 K 0.000 0.000 0.000 (multiplicity 4)
2 Sr 0.000 0.000 0.500 (multiplicity 4)
3 Cd 0.250 0.250 0.750 (multiplicity 4)
4 Hg 0.250 0.250 0.250 (multiplicity 4)

Number 1: V 53.10 A^3/atom. Number 2: V 19.32 A^3/atom. Number 3: V 21.57 A^3/atom. Number 4: V 32.47 A^3/atom. Number 5: V 14.84 A^3/atom. Number 6: V 18.74 A^3/atom. Number 7: V 32.90 A^3/atom. Number 8: V 18.44 A^3/atom. Number 9: V 28.78 A^3/atom. Number 10: V 23.74 A^3/atom. Number 11: V 28.91 A^3/atom. Number 12: V 34.57 A^3/atom.